# 1
Entry from the Alexandria database: an optimized crystal structure of CaGdAsAu (PBE).

Unit cell a=5.1299 b=5.1299 c=5.1299 alpha=60.00 beta=60.00 gamma=60.00
Each line ends with the local moment (μB).
Positions (direct):
Au 0.0000 0.0000 0.0000  0.00
As 0.5000 0.5000 0.5000  -0.03
Gd 0.7500 0.7500 0.7500  6.94
Ca 0.2500 0.2500 0.2500  0.01

Output
VASP energy, eV/f.u.: -27.7

=====

# 2
Entry from the Alexandria database: an optimized crystal structure of Ca3Ge2AsAu6 (PBE).

Unit cell a=5.9170 b=5.9170 c=9.5721 alpha=90.00 beta=90.00 gamma=120.00
Positions (direct):
Au 0.3314 0.1657 0.7197
Ge 0.3333 0.6667 0.0839
Ge 0.6667 0.3333 0.9161
Ca 0.6667 0.3333 0.4032
As 0.0000 0.0000 0.5000
Au 0.1657 0.3314 0.2803
Au 0.6686 0.8343 0.2803
Au 0.1657 0.8343 0.2803
Ca 0.3333 0.6667 0.5968
Au 0.8343 0.1657 0.7197
Ca 0.0000 0.0000 0.0000
Au 0.8343 0.6686 0.7197

Output
VASP energy, eV/f.u.: -44.9

=====

# 3
Entry from the Alexandria database: an optimized crystal structure of Ca3GeAs2Au6 (PBE).

Unit cell a=5.9105 b=5.9105 c=9.4057 alpha=90.00 beta=90.00 gamma=120.00
Positions (direct):
Au 0.6681 0.8340 0.2865
As 0.3333 0.6667 0.0837
Ca 0.0000 0.0000 0.0000
Au 0.3319 0.1660 0.7135
Au 0.8340 0.1660 0.7135
Ca 0.3333 0.6667 0.5976
As 0.6667 0.3333 0.9163
Au 0.1660 0.3319 0.2865
Ca 0.6667 0.3333 0.4024
Au 0.8340 0.6681 0.7135
Au 0.1660 0.8340 0.2865
Ge 0.0000 0.0000 0.5000

Output
VASP energy, eV/f.u.: -45.4

=====

# 4
Entry from the Alexandria database: an optimized crystal structure of Ca2AsAuI (PBE).

Unit cell a=5.8272 b=5.1863 c=5.8272 alpha=90.00 beta=90.00 gamma=90.00
Positions (direct):
Ca 0.5000 0.0000 0.0000
Ca 0.0000 0.0000 0.5000
As 0.5000 0.5000 0.5000
I 0.0000 0.0000 0.0000
Au 0.0000 0.5000 0.0000

Output
E_form (uncorrected), eV per atom: -0.001

=====

# 5
Entry from the Alexandria database: an optimized crystal structure of CaInAsAu (PBE).

Unit cell a=5.0650 b=5.0650 c=5.0650 alpha=60.00 beta=60.00 gamma=60.00
Positions (direct):
Au 0.2500 0.2500 0.2500
As 0.7500 0.7500 0.7500
Ca 0.5000 0.5000 0.5000
In 0.0000 0.0000 0.0000

Output
VASP energy, eV/f.u.: -14.5

=====

# 6
Entry from the Alexandria database: an optimized crystal structure of CaAs2IrAu (PBE).

Unit cell a=4.9653 b=5.1086 c=4.9653 alpha=90.00 beta=90.00 gamma=90.00
Positions (direct):
As 0.5000 0.0000 0.0000
As 0.0000 0.0000 0.5000
Au 0.0000 0.0000 0.0000
Ca 0.5000 0.5000 0.5000
Ir 0.0000 0.5000 0.0000

Output
VASP energy, eV/f.u.: -20.6

=====

| no. | total moment (μB/atom) | theoretical density (g/cm³) |
| --- | --- | --- |
| 1 | 1.763 | 8.2 |
| 2 | 0.000 | 8.7 |
| 3 | 0.000 | 8.9 |
| 4 | 0.000 | 4.5 |
| 5 | 0.000 | 7.7 |
| 6 | 0.000 | 7.6 |